A relaxed structure of CoP8. Source: Alexandria via LeMat-Bulk, functional GGA-PBEsol.

abc: 5.599 5.599 5.599
angles: 101.70 101.70 126.46
Fractional coordinates of all 9 atoms:
Co (0.000, 0.000, 0.000)
P (0.000, 0.311, 0.311)
P (0.000, 0.689, 0.689)
P (0.311, 0.000, 0.311)
P (0.340, 0.340, 0.681)
P (0.340, 0.660, 0.000)
P (0.660, 0.340, 0.000)
P (0.660, 0.660, 0.319)
P (0.689, 0.000, 0.689)

space group	No. 139
DFT total energy	-5.579	eV per atom
calculated formation energy	428	meV per atom

A relaxed structure of CoP. Source: Alexandria via LeMat-Bulk, functional GGA-PBEsol.

abc: 4.100 4.100 3.964
angles: 103.27 103.27 42.54
Fractional coordinates of all 4 atoms:
Co (0.107, 0.107, 0.309)
Co (0.893, 0.893, 0.691)
P (0.381, 0.381, 0.209)
P (0.619, 0.619, 0.791)

space group	No. 12
DFT total energy	-7.144	eV per atom
calculated formation energy	-380	meV per atom

- Which of these has the lowest calculated formation energy?
  CoP